#A
Tb5Pt3: relaxed, PBE.

Values from the calculation:
M_tot: 0.00 μB/cell
Volume: 24.3 A^3/atom

a = 8.4835 Å, b = 8.4835 Å, c = 6.2312 Å
α = 90.00°, β = 90.00°, γ = 120.00°
Closest atoms and distances in Å follow each position.
Element x y z (fractional)
Pt  0.3939  0.0000  0.2500  7 Tb 2.92-3.05
Pt  0.6061  0.0000  0.7500  7 Tb 2.92-3.05
Pt  0.0000  0.6061  0.7500  7 Tb 2.92-3.05
Pt  0.6061  0.6061  0.2500  7 Tb 2.92-3.05
Pt  0.0000  0.3939  0.2500  7 Tb 2.92-3.05
Pt  0.3939  0.3939  0.7500  7 Tb 2.92-3.05
Tb  0.7537  0.0000  0.2500  3 Pt 2.92-3.05
Tb  0.2463  0.0000  0.7500  3 Pt 2.92-3.05
Tb  0.2463  0.2463  0.2500  3 Pt 2.92-3.05
Tb  0.6667  0.3333  0.5000  6 Pt 3.04, 2 Tb 3.12
Tb  0.7537  0.7537  0.7500  3 Pt 2.92-3.05
Tb  0.0000  0.7537  0.2500  3 Pt 2.92-3.05
Tb  0.3333  0.6667  0.5000  6 Pt 3.04, 2 Tb 3.12
Tb  0.3333  0.6667  0.0000  6 Pt 3.04, 2 Tb 3.12
Tb  0.0000  0.2463  0.7500  3 Pt 2.92-3.05
Tb  0.6667  0.3333  0.0000  6 Pt 3.04, 2 Tb 3.12

#B
Tb5Pt3: relaxed, PBE.

Values from the calculation:
M_tot: 0.00 μB/cell
Volume: 24.9 A^3/atom

a = 6.5047 Å, b = 11.0759 Å, c = 11.0759 Å
α = 90.00°, β = 90.00°, γ = 90.00°
Closest atoms and distances in Å follow each position.
Element x y z (fractional)
Pt  0.3821  0.0000  0.5000  8 Tb 2.94-3.02, 2 Pt 3.25
Pt  0.6179  0.5000  0.0000  8 Tb 2.94-3.02, 2 Pt 3.25
Pt  0.7500  0.3462  0.6538  8 Tb 2.91-3.22
Pt  0.2500  0.6538  0.6538  8 Tb 2.91-3.22
Pt  0.7500  0.6538  0.3462  8 Tb 2.91-3.22
Pt  0.2500  0.8462  0.1538  8 Tb 2.91-3.22
Pt  0.7500  0.8462  0.8462  8 Tb 2.91-3.22
Pt  0.2500  0.3462  0.3462  8 Tb 2.91-3.22
Pt  0.8821  0.0000  0.5000  8 Tb 2.94-3.02, 2 Pt 3.25
Pt  0.7500  0.1538  0.1538  8 Tb 2.91-3.22
Pt  0.2500  0.1538  0.8462  8 Tb 2.91-3.22
Pt  0.1179  0.5000  0.0000  8 Tb 2.94-3.02, 2 Pt 3.25
Tb  0.8784  0.7068  0.0899  5 Pt 2.94-3.22
Tb  0.1216  0.0899  0.2932  5 Pt 2.94-3.22
Tb  0.6216  0.9101  0.2932  5 Pt 2.94-3.22
Tb  0.5000  0.0000  0.0000  4 Pt 2.91, 2 Tb 3.25
Tb  0.0000  0.5000  0.5000  4 Pt 2.91, 2 Tb 3.25
Tb  0.1216  0.2068  0.5899  5 Pt 2.94-3.22
Tb  0.3784  0.5899  0.2068  5 Pt 2.94-3.22
Tb  0.3784  0.2932  0.0899  5 Pt 2.94-3.22
Tb  0.3784  0.7068  0.9101  5 Pt 2.94-3.22
Tb  0.8784  0.2932  0.9101  5 Pt 2.94-3.22
Tb  0.5000  0.5000  0.5000  4 Pt 2.91, 2 Tb 3.25
Tb  0.6216  0.0899  0.7068  5 Pt 2.94-3.22
Tb  0.3784  0.4101  0.7932  5 Pt 2.94-3.22
Tb  0.6216  0.7932  0.5899  5 Pt 2.94-3.22
Tb  0.8784  0.5899  0.7932  5 Pt 2.94-3.22
Tb  0.6216  0.2068  0.4101  5 Pt 2.94-3.22
Tb  0.1216  0.7932  0.4101  5 Pt 2.94-3.22
Tb  0.0000  0.0000  0.0000  4 Pt 2.91, 2 Tb 3.25
Tb  0.8784  0.4101  0.2068  5 Pt 2.94-3.22
Tb  0.1216  0.9101  0.7068  5 Pt 2.94-3.22

Computed relative energies in units of meV/atom: #A 29; #B 0

#A
Tb4TePt: relaxed, PBE.

Values from the calculation:
M_tot: 0.00 μB/cell
Volume: 27.1 A^3/atom

a = 3.9601 Å, b = 8.3482 Å, c = 19.6666 Å
α = 90.00°, β = 90.00°, γ = 90.00°
Closest atoms and distances in Å follow each position.
Element x y z (fractional)
Te  0.7500  0.2438  0.6862  9 Tb 3.22-3.41
Te  0.2500  0.2562  0.1862  9 Tb 3.22-3.41
Te  0.7500  0.7438  0.8138  9 Tb 3.22-3.41
Te  0.2500  0.7562  0.3138  9 Tb 3.22-3.41
Tb  0.2500  0.1362  0.3475  2 Pt 2.92, 1 Te 3.24
Tb  0.2500  0.9828  0.0692  2 Pt 2.94, 1 Te 3.24
Tb  0.7500  0.4585  0.2825  4 Te 3.22-3.24, 6 Tb 3.53-3.58
Tb  0.7500  0.8566  0.4483  3 Pt 2.90-3.09
Tb  0.7500  0.3638  0.8475  2 Pt 2.92, 1 Te 3.24
Tb  0.7500  0.5172  0.5692  2 Pt 2.94, 1 Te 3.24
Tb  0.2500  0.4828  0.4308  2 Pt 2.94, 1 Te 3.24
Tb  0.2500  0.0415  0.7825  4 Te 3.22-3.24, 6 Tb 3.53-3.58
Tb  0.2500  0.1434  0.5517  3 Pt 2.90-3.09
Tb  0.2500  0.6362  0.1525  2 Pt 2.92, 1 Te 3.24
Tb  0.2500  0.5415  0.7175  4 Te 3.22-3.24, 6 Tb 3.53-3.58
Tb  0.7500  0.3566  0.0517  3 Pt 2.90-3.09
Tb  0.7500  0.9585  0.2175  4 Te 3.22-3.24, 6 Tb 3.53-3.58
Tb  0.7500  0.0172  0.9308  2 Pt 2.94, 1 Te 3.24
Tb  0.2500  0.6434  0.9483  3 Pt 2.90-3.09
Tb  0.7500  0.8638  0.6525  2 Pt 2.92, 1 Te 3.24
Pt  0.2500  0.2728  0.9499  7 Tb 2.90-3.09
Pt  0.2500  0.7728  0.5501  7 Tb 2.90-3.09
Pt  0.7500  0.7272  0.0501  7 Tb 2.90-3.09
Pt  0.7500  0.2272  0.4499  7 Tb 2.90-3.09

#B
Tb4TePt: relaxed, PBE.

Values from the calculation:
M_tot: 0.00 μB/cell
Volume: 27.9 A^3/atom

a = 5.7480 Å, b = 8.1759 Å, c = 9.9307 Å
α = 127.06°, β = 90.00°, γ = 110.58°
Closest atoms and distances in Å follow each position.
Element x y z (fractional)
Tb  0.3762  0.7525  0.7967  1 Te 3.09, 1 Pt 3.15, 4 Tb 3.31-3.44
Tb  0.0889  0.1778  0.4391  2 Pt 2.91-3.05, 2 Te 3.16
Tb  0.9111  0.8222  0.5609  2 Pt 2.91-3.05, 2 Te 3.16
Tb  0.6238  0.2475  0.2033  1 Te 3.09, 1 Pt 3.15, 4 Tb 3.31-3.44
Tb  0.3822  0.7644  0.1897  3 Pt 3.01-3.07, 1 Te 3.26, 1 Tb 3.32
Tb  0.1097  0.2193  0.0094  1 Pt 2.80
Tb  0.6178  0.2356  0.8103  3 Pt 3.01-3.07, 1 Te 3.26, 1 Tb 3.32
Tb  0.8903  0.7807  0.9906  1 Pt 2.80
Pt  0.8295  0.6589  0.2032  6 Tb 2.80-3.07
Pt  0.1705  0.3411  0.7968  6 Tb 2.80-3.07
Te  0.3023  0.6046  0.4247  6 Tb 3.09-3.36
Te  0.6977  0.3954  0.5754  6 Tb 3.09-3.36

Computed relative energies in units of meV/atom: #A 0; #B 175

#A
TbThPt2: relaxed, PBE.

Values from the calculation:
M_tot: 0.00 μB/cell
Volume: 22.8 A^3/atom

a = 3.5789 Å, b = 5.0525 Å, c = 5.0525 Å
α = 90.00°, β = 90.00°, γ = 90.00°
Closest atoms and distances in Å follow each position.
Element x y z (fractional)
Tb  0.5000  0.0000  0.0000  8 Pt 3.10
Th  0.5000  0.5000  0.5000  8 Pt 3.10
Pt  0.0000  0.5000  0.0000  4 Tb 3.10, 4 Th 3.10
Pt  0.0000  0.0000  0.5000  4 Tb 3.10, 4 Th 3.10

#B
TbThPt2: relaxed, PBE.

Values from the calculation:
M_tot: 0.00 μB/cell
Volume: 25.1 A^3/atom

a = 4.1384 Å, b = 4.1384 Å, c = 7.1907 Å
α = 73.28°, β = 73.28°, γ = 60.00°
Closest atoms and distances in Å follow each position.
Element x y z (fractional)
Tb  0.0000  0.0000  0.0000  6 Pt 2.93
Pt  0.7499  0.7499  0.7502  3 Tb 2.93, 3 Th 2.93
Pt  0.2501  0.2501  0.2498  3 Tb 2.93, 3 Th 2.93
Th  0.5000  0.5000  0.5000  6 Pt 2.93

Computed relative energies in units of meV/atom: #A 106; #B 0

#A
TbThPt: relaxed, PBE.

Values from the calculation:
M_tot: 0.00 μB/cell
Volume: 28.8 A^3/atom

a = 4.9615 Å, b = 4.9615 Å, c = 4.9615 Å
α = 60.00°, β = 60.00°, γ = 60.00°
Closest atoms and distances in Å follow each position.
Element x y z (fractional)
Th  0.5000  0.5000  0.5000  4 Pt 3.04
Pt  0.2500  0.2500  0.2500  4 Tb 3.04, 4 Th 3.04
Tb  0.0000  0.0000  0.0000  4 Pt 3.04

#B
TbThPt: relaxed, PBE.

Values from the calculation:
M_tot: 0.00 μB/cell
Volume: 26.6 A^3/atom

a = 4.0914 Å, b = 4.7474 Å, c = 4.7474 Å
α = 120.00°, β = 90.00°, γ = 90.00°
Closest atoms and distances in Å follow each position.
Element x y z (fractional)
Th  0.0558  0.0000  0.0000  3 Pt 3.00, 3 Tb 3.34
Tb  0.5907  0.6667  0.3333  3 Pt 2.91
Pt  0.3535  0.3333  0.6667  3 Tb 2.91, 3 Th 3.00

#C
TbThPt: relaxed, PBE.

Values from the calculation:
M_tot: 0.00 μB/cell
Volume: 25.8 A^3/atom

a = 5.1501 Å, b = 5.1241 Å, c = 6.4113 Å
α = 90.00°, β = 113.64°, γ = 90.00°
Closest atoms and distances in Å follow each position.
Element x y z (fractional)
Pt  0.2584  0.7500  0.5158  4 Tb 3.02-3.11, 4 Th 3.04-3.16
Pt  0.7416  0.2500  0.4842  4 Tb 3.02-3.11, 4 Th 3.04-3.16
Th  0.3974  0.2500  0.7952  4 Pt 3.04-3.16, 1 Tb 3.41
Th  0.6026  0.7500  0.2048  4 Pt 3.04-3.16, 1 Tb 3.41
Tb  0.1074  0.2500  0.2151  4 Pt 3.02-3.11
Tb  0.8926  0.7500  0.7849  4 Pt 3.02-3.11

Computed relative energies in units of meV/atom: #A 64; #B 162; #C 0

#A
TbTiPt2: relaxed, PBE.

Values from the calculation:
M_tot: 0.00 μB/cell
Volume: 18.6 A^3/atom

a = 3.2162 Å, b = 3.2162 Å, c = 7.1932 Å
α = 90.00°, β = 90.00°, γ = 90.00°
Closest atoms and distances in Å follow each position.
Element x y z (fractional)
Pt  0.0000  0.0000  0.2037  4 Ti 2.71, 1 Pt 2.93
Pt  0.0000  0.0000  0.7963  4 Ti 2.71, 1 Pt 2.93
Ti  0.5000  0.5000  0.0000  8 Pt 2.71
Tb  0.5000  0.5000  0.5000  8 Pt 3.12, 4 Tb 3.22

#B
TbTiPt2: relaxed, PBE.

Values from the calculation:
M_tot: 0.00 μB/cell
Volume: 20.1 A^3/atom

a = 4.4326 Å, b = 4.4326 Å, c = 5.3660 Å
α = 65.61°, β = 65.61°, γ = 60.00°
Closest atoms and distances in Å follow each position.
Element x y z (fractional)
Pt  0.2865  0.2865  0.1404  3 Ti 2.64, 3 Pt 2.88
Pt  0.7135  0.7135  0.8596  3 Ti 2.64, 3 Pt 2.88
Tb  0.5000  0.5000  0.5000  8 Pt 3.02-3.07
Ti  0.0000  0.0000  0.0000  6 Pt 2.64

Computed relative energies in units of meV/atom: #A 13; #B 0

#A
Tb2TlPt: relaxed, PBE.

Values from the calculation:
M_tot: 0.00 μB/cell
Volume: 28.5 A^3/atom

a = 4.0380 Å, b = 4.0380 Å, c = 8.3982 Å
α = 76.09°, β = 76.09°, γ = 60.00°
Closest atoms and distances in Å follow each position.
Element x y z (fractional)
Tb  0.0660  0.0660  0.8020  3 Pt 2.84
Tb  0.2678  0.2678  0.1967  3 Pt 2.81
Tl  0.5005  0.5005  0.4985  6 Tb 3.37-3.38
Pt  0.6658  0.6658  0.0027  6 Tb 2.81-2.84

#B
Tb2TlPt: relaxed, PBE.

Values from the calculation:
M_tot: 0.00 μB/cell
Volume: 24.7 A^3/atom

a = 3.5760 Å, b = 3.5760 Å, c = 7.7191 Å
α = 90.00°, β = 90.00°, γ = 90.00°
Closest atoms and distances in Å follow each position.
Element x y z (fractional)
Tb  0.0000  0.0000  0.7817  4 Pt 3.04, 4 Tl 3.33, 1 Tb 3.37
Tb  0.0000  0.0000  0.2183  4 Pt 3.04, 4 Tl 3.33, 1 Tb 3.37
Pt  0.5000  0.5000  0.0000  8 Tb 3.04
Tl  0.5000  0.5000  0.5000  8 Tb 3.33, 4 Tl 3.58

#C
Tb2TlPt: relaxed, PBE.

Values from the calculation:
M_tot: 0.00 μB/cell
Volume: 24.5 A^3/atom

a = 5.1716 Å, b = 5.1716 Å, c = 5.1716 Å
α = 60.00°, β = 60.00°, γ = 60.00°
Closest atoms and distances in Å follow each position.
Element x y z (fractional)
Tb  0.2500  0.2500  0.2500  4 Tl 3.17, 4 Pt 3.17
Tb  0.7500  0.7500  0.7500  4 Tl 3.17, 4 Pt 3.17
Tl  0.0000  0.0000  0.0000  8 Tb 3.17
Pt  0.5000  0.5000  0.5000  8 Tb 3.17

Computed relative energies in units of meV/atom: #A 77; #B 0; #C 100

#A
Tb2TlPt: relaxed, PBE.

Values from the calculation:
M_tot: 0.00 μB/cell
Volume: 24.7 A^3/atom

a = 3.5888 Å, b = 7.1910 Å, c = 7.6553 Å
α = 90.00°, β = 90.00°, γ = 90.00°
Closest atoms and distances in Å follow each position.
Element x y z (fractional)
Tb  0.5000  0.4954  0.7813  4 Pt 2.96-3.13, 2 Tl 3.31
Tb  0.5000  0.9954  0.2187  4 Pt 2.96-3.13, 2 Tl 3.31
Tb  0.5000  0.5046  0.2187  4 Pt 2.96-3.13, 2 Tl 3.31
Tb  0.5000  0.0046  0.7813  4 Pt 2.96-3.13, 2 Tl 3.31
Tl  0.0000  0.7500  0.5074  8 Tb 3.31-3.35, 1 Pt 3.58, 4 Tl 3.59-3.60
Tl  0.0000  0.2500  0.4926  8 Tb 3.31-3.35, 1 Pt 3.58, 4 Tl 3.59-3.60
Pt  0.0000  0.2500  0.0244  8 Tb 2.96-3.13
Pt  0.0000  0.7500  0.9756  8 Tb 2.96-3.13

#B
Tb2TlPt: relaxed, PBE.

Values from the calculation:
M_tot: 0.00 μB/cell
Volume: 28.1 A^3/atom

a = 3.9890 Å, b = 3.9890 Å, c = 8.4769 Å
α = 76.39°, β = 76.39°, γ = 60.00°
Closest atoms and distances in Å follow each position.
Element x y z (fractional)
Pt  0.0000  0.0000  0.0000  6 Tb 2.83
Tb  0.7336  0.7336  0.7991  3 Pt 2.83
Tb  0.2664  0.2664  0.2009  3 Pt 2.83
Tl  0.5000  0.5000  0.5000  6 Tb 3.36

Computed relative energies in units of meV/atom: #A 0; #B 69

#A
Tb3TlPt: relaxed, PBE.

Values from the calculation:
M_tot: 0.00 μB/cell
Volume: 29.7 A^3/atom

a = 3.8007 Å, b = 8.0475 Å, c = 9.9909 Å
α = 90.00°, β = 90.00°, γ = 103.66°
Closest atoms and distances in Å follow each position.
Element x y z (fractional)
Tb  0.8757  0.7513  0.7500  2 Pt 2.79
Tb  0.3392  0.6784  0.4289  2 Pt 2.92, 2 Tl 3.23
Tb  0.3392  0.6784  0.0711  2 Pt 2.92, 2 Tl 3.23
Tb  0.6608  0.3216  0.5711  2 Pt 2.92, 2 Tl 3.23
Tb  0.6608  0.3216  0.9289  2 Pt 2.92, 2 Tl 3.23
Tb  0.1243  0.2487  0.2500  2 Pt 2.79
Pt  0.2449  0.4899  0.7500  6 Tb 2.79-2.92
Pt  0.7551  0.5101  0.2500  6 Tb 2.79-2.92
Tl  0.0000  0.0000  0.5000  6 Tb 3.17-3.23
Tl  0.0000  0.0000  0.0000  6 Tb 3.17-3.23

#B
Tb3TlPt: relaxed, PBE.

Values from the calculation:
M_tot: 0.00 μB/cell
Volume: 28.2 A^3/atom

a = 4.7972 Å, b = 6.9227 Å, c = 8.4792 Å
α = 90.00°, β = 90.00°, γ = 90.00°
Closest atoms and distances in Å follow each position.
Element x y z (fractional)
Tb  0.7500  0.7500  0.0650  1 Pt 2.82, 2 Tl 3.11
Tb  0.7500  0.0017  0.6620  3 Pt 2.84-2.99
Tb  0.7500  0.4983  0.6620  3 Pt 2.84-2.99
Tb  0.2500  0.5017  0.3380  3 Pt 2.84-2.99
Tb  0.2500  0.2500  0.9350  1 Pt 2.82, 2 Tl 3.11
Tb  0.2500  0.9983  0.3380  3 Pt 2.84-2.99
Tl  0.7500  0.2500  0.1684  6 Tb 3.11-3.30
Tl  0.2500  0.7500  0.8316  6 Tb 3.11-3.30
Pt  0.2500  0.2500  0.6025  7 Tb 2.82-2.99
Pt  0.7500  0.7500  0.3975  7 Tb 2.82-2.99

Computed relative energies in units of meV/atom: #A 90; #B 0